Below is crystalline KCaCuCl4 at its relaxed geometry, with properties calculated at the PBE level.

Calculated values
calculated total energy: -52.8 eV for the cell shown
total magnetic moment: 0.1 μB per formula unit
E_form (uncorrected): -1687 meV per atom

```
data_KCaCuCl4
_chemical_formula_sum 'K2 Ca2 Cu2 Cl8'
_cell_length_a 6.521
_cell_length_b 6.943
_cell_length_c 8.600
_cell_angle_alpha 90.00
_cell_angle_beta 108.79
_cell_angle_gamma 90.00
_space_group_name_H-M_alt 'P 1 21/m 1'
_space_group_IT_number 11
loop_
_space_group_symop_operation_xyz
'x,y,z'
'-x,-y,-z'
'-x,y+1/2,-z'
'x,-y+1/2,z'
loop_
_atom_site_label
_atom_site_fract_x
_atom_site_fract_y
_atom_site_fract_z
K1 0.244 0.250 0.055
Ca1 0.221 0.250 0.554
Cu1 0.231 0.750 0.322
Cl1 0.015 0.504 0.713
Cl2 0.437 0.750 0.151
Cl3 0.465 0.750 0.590
```